{"formula": "DyThPtS", "functional": "GGA-PBE", "state": "optimized geometry", "m_tot_mub_per_fu": 0.00, "e_form_raw_ev_per_atom": -1.421, "energy_ev_per_cell": -27.87, "lattice": [[-0.383, -3.397, -1.957], [-0.673, 0.125, 3.880], [-6.508, 3.739, -1.249]], "species": ["Dy", "Th", "Pt", "S"], "frac_coords": [[0.963, 0.379, 0.357], [0.304, 0.550, 0.869], [0.471, 0.133, 0.619], [0.141, 0.968, 0.124]]}

***

{"formula": "AlNiH", "functional": "GGA-PBE", "state": "optimized geometry", "m_tot_mub_per_fu": 0.00, "energy_ev_per_cell": -26.77, "lattice": [[-2.268, 0.594, 1.629], [-0.102, -4.394, -1.042], [2.908, -0.091, 4.082]], "species": ["Ni", "Ni", "Al", "Al", "H", "H"], "frac_coords": [[0.158, 0.315, 0.319], [0.842, 0.685, 0.681], [0.132, 0.264, 0.810], [0.868, 0.736, 0.190], [0.555, 0.110, 0.256], [0.445, 0.890, 0.744]]}

***

{"formula": "Sr3Ag2Pd7", "functional": "GGA-PBE", "state": "optimized geometry", "m_tot_mub_per_fu": 0.00, "energy_ev_per_cell": -53.20, "lattice": [[-2.833, -3.968, -2.752], [0.800, -5.396, 1.262], [-7.313, -2.662, 5.672]], "species": ["Sr", "Sr", "Sr", "Ag", "Ag", "Pd", "Pd", "Pd", "Pd", "Pd", "Pd", "Pd"], "frac_coords": [[0.000, 0.000, 0.000], [0.860, 0.860, 0.419], [0.140, 0.140, 0.581], [0.667, 0.667, 0.000], [0.333, 0.333, 0.000], [0.500, 0.500, 0.500], [0.917, 0.415, 0.252], [0.415, 0.917, 0.252], [0.415, 0.415, 0.252], [0.083, 0.585, 0.748], [0.585, 0.585, 0.748], [0.585, 0.083, 0.748]]}

***

{"formula": "CaMn3Hg", "functional": "GGA-PBE", "state": "optimized geometry", "relative_energy_ev_per_atom": 0.822, "m_tot_mub_per_fu": 11.41, "energy_ev_per_cell": -21.42, "lattice": [[-0.235, 2.180, 4.439], [1.749, -4.121, 2.116], [4.626, 1.668, -0.575]], "species": ["Ca", "Mn", "Mn", "Mn", "Hg"], "frac_coords": [[0.000, 0.000, 0.000], [0.000, 0.500, 0.000], [0.000, 0.000, 0.500], [0.500, 0.000, 0.000], [0.500, 0.500, 0.500]]}

***

{"formula": "K2BaInAs2", "functional": "GGA-PBE", "state": "optimized geometry", "m_tot_mub_per_fu": 0.00, "energy_ev_per_cell": -39.55, "lattice": [[-3.249, -1.760, 2.981], [6.546, -2.212, 5.827], [-0.800, 8.414, 4.094]], "species": ["K", "K", "K", "K", "Ba", "Ba", "In", "In", "As", "As", "As", "As"], "frac_coords": [[0.500, 0.040, 0.083], [0.000, 0.366, 0.177], [0.500, 0.540, 0.917], [0.000, 0.866, 0.823], [0.000, 0.977, 0.449], [0.000, 0.477, 0.551], [0.500, 0.163, 0.689], [0.500, 0.663, 0.311], [0.000, 0.247, 0.833], [0.500, 0.254, 0.409], [0.000, 0.747, 0.167], [0.500, 0.754, 0.591]]}

***

{"formula": "Ac5Tl2Os2", "functional": "GGA-PBE", "state": "optimized geometry", "m_tot_mub_per_fu": 0.00, "energy_ev_per_cell": -97.85, "lattice": [[-2.738, 7.648, 0.714], [-2.186, -0.038, -7.972], [-9.387, 0.747, 2.570]], "species": ["Ac", "Ac", "Ac", "Ac", "Ac", "Ac", "Ac", "Ac", "Ac", "Ac", "Tl", "Tl", "Tl", "Tl", "Os", "Os", "Os", "Os"], "frac_coords": [[0.000, 0.000, 0.000], [0.500, 0.500, 0.000], [0.440, 0.177, 0.763], [0.797, 0.823, 0.763], [0.297, 0.677, 0.763], [0.940, 0.323, 0.763], [0.560, 0.823, 0.237], [0.203, 0.177, 0.237], [0.703, 0.323, 0.237], [0.060, 0.677, 0.237], [0.222, 0.000, 0.556], [0.722, 0.500, 0.556], [0.778, 0.000, 0.444], [0.278, 0.500, 0.444], [0.106, 0.386, 0.000], [0.894, 0.614, 0.000], [0.394, 0.886, 0.000], [0.606, 0.114, 0.000]]}

***

{"formula": "SmSc4Cd", "functional": "GGA-PBE", "state": "optimized geometry", "m_tot_mub_per_fu": 1.11, "energy_ev_per_cell": -61.92, "lattice": [[-5.598, 0.326, 1.140], [-3.608, -3.929, -2.071], [-1.387, -7.023, 8.447]], "species": ["Sm", "Sm", "Sc", "Sc", "Sc", "Sc", "Sc", "Sc", "Sc", "Sc", "Cd", "Cd"], "frac_coords": [[0.500, 0.000, 0.500], [0.000, 0.500, 0.000], [0.436, 0.245, 0.751], [0.168, 0.666, 0.509], [0.832, 0.334, 0.491], [0.245, 0.436, 0.251], [0.755, 0.564, 0.749], [0.334, 0.832, 0.991], [0.666, 0.168, 0.009], [0.564, 0.755, 0.249], [0.923, 0.077, 0.250], [0.077, 0.923, 0.750]]}

***

{"formula": "Rb2TcRh", "functional": "GGA-PBE", "state": "optimized geometry", "relative_energy_ev_per_atom": 0.000, "m_tot_mub_per_fu": 3.45, "energy_ev_per_cell": -30.48, "lattice": [[-5.266, -11.537, -2.876], [8.359, -5.829, 8.077], [0.014, -8.425, 4.374]], "species": ["Rh", "Rh", "Tc", "Tc", "Rb", "Rb", "Rb", "Rb"], "frac_coords": [[0.000, 0.000, 0.000], [0.750, 0.250, 0.500], [0.500, 0.500, 0.000], [0.250, 0.750, 0.500], [0.808, 0.125, 0.250], [0.942, 0.625, 0.250], [0.375, 0.192, 0.750], [0.875, 0.058, 0.750]]}

***

{"formula": "PaZn3Au3", "functional": "GGA-PBE", "state": "optimized geometry", "relative_energy_ev_per_atom": 0.477, "m_tot_mub_per_fu": 2.12, "energy_ev_per_cell": -41.95, "lattice": [[-0.795, 6.867, -0.805], [-4.848, -1.131, -4.864], [-4.930, 0.005, 4.912]], "species": ["Zn", "Zn", "Zn", "Zn", "Zn", "Zn", "Pa", "Pa", "Au", "Au", "Au", "Au", "Au", "Au"], "frac_coords": [[0.000, 0.250, 0.500], [0.000, 0.750, 0.500], [0.500, 0.000, 0.750], [0.750, 0.500, 0.000], [0.500, 0.000, 0.250], [0.250, 0.500, 0.000], [0.500, 0.500, 0.500], [0.000, 0.000, 0.000], [0.250, 0.000, 0.500], [0.000, 0.500, 0.250], [0.500, 0.750, 0.000], [0.750, 0.000, 0.500], [0.000, 0.500, 0.750], [0.500, 0.250, 0.000]]}

***

{"formula": "HoMg2Ir", "functional": "GGA-PBE", "state": "optimized geometry", "m_tot_mub_per_fu": 0.00, "energy_ev_per_cell": -148.87, "lattice": [[5.328, 0.000, 0.000], [0.000, 8.408, 0.000], [0.000, 0.000, 15.304]], "species": ["Ho", "Ho", "Ho", "Ho", "Ho", "Ho", "Ho", "Ho", "Mg", "Mg", "Mg", "Mg", "Mg", "Mg", "Mg", "Mg", "Mg", "Mg", "Mg", "Mg", "Mg", "Mg", "Mg", "Mg", "Ir", "Ir", "Ir", "Ir", "Ir", "Ir", "Ir", "Ir"], "frac_coords": [[0.448, 0.250, 0.137], [0.948, 0.750, 0.363], [0.552, 0.750, 0.863], [0.052, 0.250, 0.637], [0.754, 0.250, 0.393], [0.254, 0.750, 0.107], [0.246, 0.750, 0.607], [0.746, 0.250, 0.893], [0.960, 0.057, 0.211], [0.460, 0.943, 0.289], [0.040, 0.557, 0.789], [0.540, 0.443, 0.711], [0.040, 0.943, 0.789], [0.540, 0.057, 0.711], [0.960, 0.443, 0.211], [0.460, 0.557, 0.289], [0.767, 0.556, 0.041], [0.267, 0.444, 0.459], [0.233, 0.056, 0.959], [0.733, 0.944, 0.541], [0.233, 0.444, 0.959], [0.733, 0.556, 0.541], [0.767, 0.944, 0.041], [0.267, 0.056, 0.459], [0.263, 0.250, 0.312], [0.763, 0.750, 0.188], [0.737, 0.750, 0.688], [0.237, 0.250, 0.812], [0.947, 0.250, 0.065], [0.447, 0.750, 0.435], [0.053, 0.750, 0.935], [0.553, 0.250, 0.565]]}